P | Li2Pd2Au5 (GGA-PBE, optimized geometry); volume = 148.2 Å³/cell; space-group type = P-1
1.0
4.924 0.000 0.000
-2.452 4.270 0.000
-2.289 -1.517 7.047
Li Pd Au
2 2 5
Cartesian
0.000 1.401 0.001
0.182 1.352 7.046
0.892 -0.007 2.308
-0.709 2.761 4.739
-1.561 1.427 2.264
-0.712 -0.069 4.775
2.462 0.000 0.000
0.894 2.823 2.272
1.743 1.326 4.783

***

Q | Li2Pd2Au5 (GGA-PBE, optimized geometry); volume = 299.9 Å³/cell; space-group type = Imma
1.0
-2.799 7.801 3.434
2.799 -7.801 3.434
2.799 7.801 -3.434
Li Pd Au
4 4 10
Cartesian
0.000 0.474 0.995
2.799 0.474 2.439
0.000 7.327 0.995
2.799 7.327 2.439
2.799 0.000 0.000
2.799 3.901 -0.275
0.000 0.000 3.434
0.000 3.901 3.709
1.399 6.062 -1.717
1.399 -1.739 1.717
2.799 -3.901 3.087
1.399 10.208 -1.717
1.399 2.407 1.717
-1.399 5.395 1.717
1.399 5.395 1.717
0.000 11.702 0.347
-1.399 9.540 1.717
1.399 9.540 1.717

***

The energy of each structure relative to the most stable one, in meV per atom, is as follows: P 0; Q 143.

***

P | Li5PdAu (GGA-PBE, optimized geometry); volume = 222.5 Å³/cell; space-group type = C2/c
1.0
4.550 -2.602 0.000
4.550 2.602 0.000
-1.845 0.000 9.394
Li Pd Au
10 2 2
Cartesian
0.904 0.492 6.380
3.167 1.692 7.046
1.464 0.267 9.098
1.827 -0.492 1.683
2.386 -0.267 4.401
4.869 0.267 4.993
5.429 0.492 7.711
5.792 -0.267 0.296
4.089 -1.692 2.349
6.352 -0.492 3.014
0.000 0.000 0.000
-0.923 0.000 4.697
4.089 0.911 2.349
3.167 -0.911 7.046

***

Q | Li5PdAu (GGA-PBE, optimized geometry); volume = 116.4 Å³/cell; space-group type = Cmmm
1.0
3.038 -3.048 0.000
3.038 3.048 0.000
0.000 0.000 6.286
Li Pd Au
5 1 1
Cartesian
0.000 0.000 0.000
1.519 1.524 1.735
1.519 1.524 4.550
1.519 -1.524 1.735
1.519 -1.524 4.550
0.000 0.000 3.143
3.038 0.000 0.000

***

The energy of each structure relative to the most stable one, in meV per atom, is as follows: P 11; Q 0.

***

P | Li3Pd3Au (GGA-PBE, optimized geometry); volume = 407.1 Å³/cell; space-group type = P2_13
1.0
7.412 0.000 0.000
0.000 7.412 0.000
0.000 0.000 7.412
Li Pd Au
12 12 4
Cartesian
0.142 1.537 6.621
0.791 3.848 2.169
1.537 6.621 0.142
2.169 0.791 3.848
2.915 3.563 5.875
3.563 5.875 2.915
3.848 2.169 0.791
4.496 7.269 5.242
5.242 4.496 7.269
5.875 2.915 3.563
6.621 0.142 1.537
7.269 5.242 4.496
0.833 2.872 4.539
1.150 6.261 2.555
1.522 1.522 1.522
2.184 5.890 5.227
2.555 1.150 6.261
2.872 4.539 0.833
4.539 0.833 2.872
4.856 4.856 4.856
5.227 2.184 5.890
5.890 5.227 2.184
6.261 2.555 1.150
6.578 6.578 6.578
0.457 4.163 6.954
3.249 3.249 3.249
4.163 6.954 0.457
6.954 0.457 4.163

***

Q | Li3Pd3Au (GGA-PBE, optimized geometry); volume = 208.3 Å³/cell; space-group type = P6_3/m
1.0
7.331 0.000 0.000
-3.666 6.349 0.000
0.000 0.000 4.476
Li Pd Au
6 6 2
Cartesian
-1.055 2.918 1.119
-0.611 5.804 1.119
1.999 2.373 3.357
1.667 3.976 1.119
4.277 0.545 3.357
4.721 3.432 3.357
-0.568 1.525 3.357
-2.061 6.078 3.357
1.037 1.254 1.119
2.629 5.095 3.357
5.727 0.271 1.119
4.233 4.824 1.119
0.000 4.233 3.357
3.666 2.116 1.119

***

The energy of each structure relative to the most stable one, in meV per atom, is as follows: P 92; Q 0.

***

P | Li4PdAu2 (GGA-PBE, optimized geometry); volume = 120.4 Å³/cell; space-group type = I4/mmm
1.0
-2.332 2.332 5.534
2.332 -2.332 5.534
2.332 2.332 -5.534
Li Pd Au
4 1 2
Cartesian
2.332 0.000 0.000
2.332 0.000 2.767
0.000 2.332 0.000
0.000 2.332 2.767
0.000 0.000 0.000
0.000 0.000 4.121
0.000 0.000 6.947

***

Q | Li4PdAu2 (GGA-PBE, optimized geometry); volume = 117.1 Å³/cell; space-group type = Cmmm
1.0
3.196 -4.246 0.000
3.196 4.246 0.000
0.000 0.000 4.314
Li Pd Au
4 1 2
Cartesian
1.598 2.123 2.157
1.377 0.000 0.000
1.598 -2.123 2.157
5.016 0.000 0.000
3.196 0.000 2.157
3.196 1.889 0.000
3.196 -1.889 0.000

***

The energy of each structure relative to the most stable one, in meV per atom, is as follows: P 194; Q 0.

***

P | LiTiPdAu (GGA-PBE, optimized geometry); volume = 62.2 Å³/cell; space-group type = F-43m
1.0
0.000 3.144 3.144
3.144 0.000 3.144
3.144 3.144 0.000
Li Ti Pd Au
1 1 1 1
Cartesian
0.000 0.000 0.000
3.144 3.144 3.144
4.716 4.716 4.716
1.572 1.572 1.572

***

Q | LiTiPdAu (GGA-PBE, optimized geometry); volume = 61.8 Å³/cell; space-group type = P4mm
1.0
3.020 0.000 0.000
0.000 3.020 0.000
0.000 0.000 6.772
Li Ti Pd Au
1 1 1 1
Cartesian
0.000 0.000 0.000
0.000 0.000 3.268
1.510 1.510 1.600
1.510 1.510 5.150

***

The energy of each structure relative to the most stable one, in meV per atom, is as follows: P 10; Q 0.

***

P | LiTlPdAu (GGA-PBE, optimized geometry); volume = 70.3 Å³/cell; space-group type = Cm
1.0
4.639 -2.054 0.000
4.639 2.054 0.000
-1.807 0.000 3.689
Li Tl Pd Au
1 1 1 1
Cartesian
0.000 0.000 0.000
3.736 0.000 1.845
0.965 0.000 2.767
6.508 0.000 0.921

***

Q | LiTlPdAu (GGA-PBE, optimized geometry); volume = 70.8 Å³/cell; space-group type = F-43m
1.0
0.000 3.283 3.283
3.283 0.000 3.283
3.283 3.283 0.000
Li Tl Pd Au
1 1 1 1
Cartesian
0.000 0.000 0.000
1.641 1.641 1.641
3.283 3.283 3.283
4.924 4.924 4.924

***

The energy of each structure relative to the most stable one, in meV per atom, is as follows: P 20; Q 0.